a:
Computed, not measured: an optimized crystal structure of POs3 at the PBE-GGA level of DFT.

a = 3.825 Å, b = 3.825 Å, c = 3.825 Å
α = 90.00°, β = 90.00°, γ = 90.00°
Space group Pm-3m (No. 221)
Unique sites:
P 0.000 0.000 0.000 x1
Os 0.000 0.500 0.500 x3

Values from the calculation:
Magnetization = 0.00 μB/atom



b:
Computed, not measured: an optimized crystal structure of POs3 at the PBE-GGA level of DFT.

a = 3.862 Å, b = 3.862 Å, c = 7.459 Å
α = 90.00°, β = 90.00°, γ = 90.00°
Space group I4/mmm (No. 139)
Unique sites:
P 0.000 0.000 0.000 x2
Os 0.000 0.000 0.500 x2
Os 0.000 0.500 0.250 x4

Values from the calculation:
Magnetization = 0.00 μB/atom



c:
Computed, not measured: an optimized crystal structure of POs3 at the PBE-GGA level of DFT.

a = 2.8595 Å, b = 2.8595 Å, c = 7.8489 Å
α = 90.00°, β = 90.00°, γ = 120.00°
Space group P-6m2 (No. 187)
Unique sites:
P 0.0000 0.0000 0.0000 x1
Os 0.0000 0.0000 0.5000 x1
Os 0.3333 0.6667 0.2202 x2

Values from the calculation:
Magnetization = 0.00 μB/atom



d:
Computed, not measured: an optimized crystal structure of POs3 at the PBE-GGA level of DFT.

a = 8.3912 Å, b = 8.3912 Å, c = 2.8426 Å
α = 90.00°, β = 90.00°, γ = 120.00°
Space group R-3m (No. 166, hexagonal axes)
Unique sites:
P 0.0000 0.0000 0.0000 x3
Os 0.0000 0.5000 0.0000 x9

Values from the calculation:
Magnetization = 0.00 μB/atom



The structure with the most favorable energy is c; the runner-up is 346 meV/atom above it.



a:
Computed, not measured: an optimized crystal structure of P3Os5 at the PBE-GGA level of DFT.

a = 5.642 Å, b = 12.481 Å, c = 6.845 Å
α = 90.00°, β = 114.18°, γ = 90.00°
Space group Cm (No. 8)
Unique sites:
P 0.000 0.000 0.000 x2
P 0.053 0.250 0.888 x4
P 0.193 0.307 0.387 x4
P 0.386 0.000 0.774 x2
Os 0.154 0.158 0.614 x4
Os 0.199 0.386 0.703 x4
Os 0.289 0.000 0.387 x2
Os 0.289 0.500 0.387 x2
Os 0.384 0.114 0.070 x4
Os 0.428 0.342 0.160 x4

Values from the calculation:
Magnetization = 0.00 μB/atom



b:
Computed, not measured: an optimized crystal structure of P3Os5 at the PBE-GGA level of DFT.

a = 6.9101 Å, b = 6.9101 Å, c = 5.5297 Å
α = 90.00°, β = 90.00°, γ = 120.00°
Space group P6_3/mcm (No. 193)
Unique sites:
P 0.0000 0.3722 0.2500 x6
Os 0.0000 0.2961 0.7500 x6
Os 0.3333 0.6667 0.0000 x4

Values from the calculation:
Magnetization = 0.00 μB/atom



The structure with the most favorable energy is a; the runner-up is 214 meV/atom above it.



a:
Computed, not measured: an optimized crystal structure of POs2Pb at the PBE-GGA level of DFT.

a = 5.928 Å, b = 5.928 Å, c = 10.142 Å
α = 90.00°, β = 90.00°, γ = 90.00°
Space group I-42d (No. 122)
Unique sites:
P 0.000 0.000 0.000 x4
Os 0.183 0.250 0.125 x8
Pb 0.000 0.000 0.500 x4

Values from the calculation:
Magnetization = 0.00 μB/atom



b:
Computed, not measured: an optimized crystal structure of POs2Pb at the PBE-GGA level of DFT.

a = 2.960 Å, b = 5.188 Å, c = 8.822 Å
α = 90.00°, β = 90.00°, γ = 90.00°
Space group Immm (No. 71)
Unique sites:
P 0.000 0.000 0.000 x2
Os 0.000 0.500 0.294 x4
Pb 0.000 0.000 0.500 x2

Values from the calculation:
Magnetization = 0.00 μB/atom



The structure with the most favorable energy is b; the runner-up is 166 meV/atom above it.



a:
Computed, not measured: an optimized crystal structure of POs2Pb at the PBE-GGA level of DFT.

a = 2.9877 Å, b = 2.9877 Å, c = 25.8582 Å
α = 90.00°, β = 90.00°, γ = 120.00°
Space group R-3m (No. 166, hexagonal axes)
Unique sites:
P 0.0000 0.0000 0.0000 x3
Os 0.0000 0.0000 0.2682 x6
Pb 0.0000 0.0000 0.5000 x3

Values from the calculation:
Magnetization = 0.00 μB/atom



b:
Computed, not measured: an optimized crystal structure of POs2Pb at the PBE-GGA level of DFT.

a = 6.479 Å, b = 6.479 Å, c = 6.479 Å
α = 90.00°, β = 90.00°, γ = 90.00°
Space group F-43m (No. 216)
Unique sites:
P 0.000 0.000 0.000 x4
Os 0.000 0.000 0.500 x4
Os 0.250 0.250 0.750 x4
Pb 0.250 0.250 0.250 x4

Values from the calculation:
Magnetization = 0.00 μB/atom



The structure with the most favorable energy is a; the runner-up is 684 meV/atom above it.



a:
Computed, not measured: an optimized crystal structure of POs2Pb at the PBE-GGA level of DFT.

a = 3.016 Å, b = 3.016 Å, c = 7.182 Å
α = 90.00°, β = 90.00°, γ = 90.00°
Space group P4/mmm (No. 123)
Unique sites:
P 0.000 0.000 0.000 x1
Os 0.500 0.500 0.186 x2
Pb 0.000 0.000 0.500 x1

Values from the calculation:
Magnetization = 0.00 μB/atom



b:
Computed, not measured: an optimized crystal structure of POs2Pb at the PBE-GGA level of DFT.

a = 4.176 Å, b = 4.176 Å, c = 7.683 Å
α = 90.00°, β = 90.00°, γ = 90.00°
Space group I-4m2 (No. 119)
Unique sites:
P 0.000 0.000 0.000 x2
Os 0.000 0.000 0.500 x2
Os 0.000 0.500 0.250 x2
Pb 0.000 0.500 0.750 x2

Values from the calculation:
Magnetization = 0.00 μB/atom



c:
Computed, not measured: an optimized crystal structure of POs2Pb at the PBE-GGA level of DFT.

a = 6.943 Å, b = 2.990 Å, c = 6.993 Å
α = 90.00°, β = 101.94°, γ = 90.00°
Space group C2/m (No. 12)
Unique sites:
P 0.000 0.000 0.000 x2
Os 0.244 0.500 0.166 x4
Pb 0.000 0.500 0.500 x2

Values from the calculation:
Magnetization = 0.00 μB/atom



The structure with the most favorable energy is c; the runner-up is 177 meV/atom above it.



a:
Computed, not measured: an optimized crystal structure of POs2Pb at the PBE-GGA level of DFT.

a = 8.248 Å, b = 2.988 Å, c = 6.036 Å
α = 90.00°, β = 99.65°, γ = 90.00°
Space group Cm (No. 8)
Unique sites:
P 0.000 0.000 0.000 x2
Os 0.215 0.500 0.977 x2
Os 0.438 0.000 0.272 x2
Pb 0.206 0.000 0.551 x2

Values from the calculation:
Magnetization = 0.00 μB/atom



b:
Computed, not measured: an optimized crystal structure of POs2Pb at the PBE-GGA level of DFT.

a = 2.948 Å, b = 5.058 Å, c = 10.050 Å
α = 90.00°, β = 90.00°, γ = 90.00°
Space group Cmm2 (No. 35)
Unique sites:
P 0.000 0.000 0.000 x2
Os 0.000 0.000 0.596 x2
Os 0.000 0.500 0.820 x2
Pb 0.000 0.500 0.341 x2

Values from the calculation:
Magnetization = 0.00 μB/atom



The structure with the most favorable energy is a; the runner-up is 494 meV/atom above it.